This record from the Alexandria database describes a geometry-optimized Ac3SbPtCl structure. The functional is GGA-PBE.

Computed properties:
- uncorrected energy (eV/f.u.) = -31.7
- formation energy without anion corrections (eV/atom) = -1.23
- N(E_F) (states/eV per cell) = 6.771
- theoretical density (g/cm³) = 8.4

abc: 9.2164 4.5170 10.1751
angles: 90.00 104.55 90.00
Closest atoms and distances in Å follow each position.
Space group P2_1/m (No. 11)
Symmetry-distinct sites (fractional):
Ac  0.0623  0.2500  0.3411  3 Pt 3.06-3.08
Ac  0.2320  0.2500  0.9928  3 Cl 2.98-3.25
Ac  0.3804  0.7500  0.6247  1 Cl 2.91, 2 Pt 3.10
Sb  0.3260  0.7500  0.2704  7 Ac 3.48-3.55, 1 Cl 3.86
Pt  0.1598  0.2500  0.6540  6 Ac 3.06-3.34
Cl  0.4039  0.7500  0.9149  4 Ac 2.91-3.25, 2 Cl 3.11

This record from the Alexandria database describes a geometry-optimized RbAg3Br8 structure. The functional is GGA-PBE.

Computed properties:
- uncorrected energy (eV/f.u.) = -27.2
- formation energy without anion corrections (eV/atom) = -0.36
- N(E_F) (states/eV per cell) = 12.115
- theoretical density (g/cm³) = 4.6

abc: 6.9909 6.9909 8.8932
angles: 90.00 90.00 120.00
Closest atoms and distances in Å follow each position.
Space group P-3 (No. 147)
Symmetry-distinct sites (fractional):
Rb  0.0000  0.0000  0.0000  6 Br 3.58
Ag  0.0000  0.0000  0.5000  6 Br 2.66
Ag  0.3333  0.6667  0.7322  4 Br 2.63-2.65
Br  0.0330  0.3218  0.3220  2 Ag 2.65-2.66
Br  0.3333  0.6667  0.0285  1 Ag 2.63

This record from the Alexandria database describes a geometry-optimized CuNi4As2 structure. The functional is GGA-PBE.

Computed properties:
- uncorrected energy (eV/f.u.) = -32.9
- N(E_F) (states/eV per cell) = 14.807
- formation enthalpy at 0 K (meV/atom) = 516
- theoretical density (g/cm³) = 6.9

abc: 4.2634 4.2634 11.9211
angles: 90.00 90.00 90.00
Closest atoms and distances in Å follow each position.
Space group I4/mmm (No. 139)
Symmetry-distinct sites (fractional):
Cu  0.0000  0.0000  0.0000  6 Ni 2.13-2.34
Ni  0.0000  0.0000  0.1967  1 As 2.22, 1 Cu 2.34
Ni  0.0000  0.5000  0.0000  2 Cu 2.13
As  0.0000  0.0000  0.3827  1 Ni 2.22

This record from the Alexandria database describes a geometry-optimized Dy7Y12Sc structure. The functional is GGA-PBE.

Computed properties:
- uncorrected energy (eV/f.u.) = -112.7
- N(E_F) (states/eV per cell) = 120.004
- formation enthalpy at 0 K (meV/atom) = 173
- theoretical density (g/cm³) = 5.8
- distance to the lowest polymorph of the same formula (meV per atom) = 0.0

abc: 14.9410 14.9410 10.0152
angles: 90.00 90.00 120.00
Closest atoms and distances in Å follow each position.
Space group R-3 (No. 148, hexagonal axes)
Symmetry-distinct sites (fractional):
Dy  0.0000  0.0000  0.0000  12 Y 3.59-3.60
Dy  0.0714  0.8296  0.4289  1 Sc 3.29, 6 Y 3.32-3.62, 3 Dy 3.39-3.52
Y  0.0376  0.7850  0.0736  4 Dy 3.32-3.61, 3 Y 3.33-3.63
Y  0.0450  0.8518  0.7545  4 Dy 3.32-3.62, 3 Y 3.33-3.63, 1 Sc 3.65
Sc  0.0000  0.0000  0.5000  6 Dy 3.29, 6 Y 3.65

This record from the Alexandria database describes a geometry-optimized Li4NdY structure. The functional is GGA-PBE.

Computed properties:
- uncorrected energy (eV/f.u.) = -18.3
- N(E_F) (states/eV per cell) = 24.149
- formation enthalpy at 0 K (meV/atom) = 104
- theoretical density (g/cm³) = 3.0

abc: 8.3599 8.3599 8.3599
angles: 90.00 90.00 90.00
Closest atoms and distances in Å follow each position.
Space group F-43m (No. 216)
Symmetry-distinct sites (fractional):
Li  0.1254  0.1254  0.1254  6 Li 2.95-2.97
Nd  0.2500  0.2500  0.7500  12 Li 3.47, 4 Y 3.62
Y  0.0000  0.0000  0.5000  12 Li 3.46, 4 Nd 3.62

This record from the Alexandria database describes a geometry-optimized TmGaAg4 structure. The functional is GGA-PBE.

Computed properties:
- uncorrected energy (eV/f.u.) = -19.7
- N(E_F) (states/eV per cell) = 6.988
- formation enthalpy at 0 K (meV/atom) = -140
- theoretical density (g/cm³) = 9.3
- distance to the lowest polymorph of the same formula (meV per atom) = 0.0

abc: 7.8100 7.8100 7.8100
angles: 90.00 90.00 90.00
Closest atoms and distances in Å follow each position.
Space group F-43m (No. 216)
Symmetry-distinct sites (fractional):
Tm  0.0000  0.0000  0.0000  12 Ag 3.24, 4 Ga 3.38
Ga  0.2500  0.2500  0.2500  12 Ag 3.24, 4 Tm 3.38
Ag  0.1249  0.1249  0.6249  6 Ag 2.76

This record from the Alexandria database describes a geometry-optimized BaZrB2As structure. The functional is GGA-PBE.

Computed properties:
- uncorrected energy (eV/f.u.) = -18.0
- N(E_F) (states/eV per cell) = 4.885
- formation enthalpy at 0 K (meV/atom) = 2099
- theoretical density (g/cm³) = 4.6

abc: 4.5335 4.5335 5.7344
angles: 90.00 90.00 90.00
Closest atoms and distances in Å follow each position.
Space group P4/mmm (No. 123)
Symmetry-distinct sites (fractional):
Ba  0.0000  0.0000  0.0000  4 B 2.27
Zr  0.5000  0.5000  0.5000  4 As 3.21
B  0.0000  0.5000  0.0000  2 Ba 2.27
As  0.0000  0.0000  0.5000  2 Ba 2.87, 4 Zr 3.21

This record from the Alexandria database describes a geometry-optimized AlCu2Te structure. The functional is GGA-PBE.

Computed properties:
- uncorrected energy (eV/f.u.) = -14.2
- formation energy without anion corrections (eV/atom) = 0.23
- N(E_F) (states/eV per cell) = 3.927
- theoretical density (g/cm³) = 6.8
- distance to the lowest polymorph of the same formula (meV per atom) = 180.0

abc: 3.9037 3.9037 9.0366
angles: 90.00 90.00 90.00
Closest atoms and distances in Å follow each position.
Space group I-4m2 (No. 119)
Symmetry-distinct sites (fractional):
Al  0.0000  0.0000  0.0000  8 Cu 2.76-2.99, 4 Te 2.99
Cu  0.0000  0.0000  0.5000  4 Al 2.76, 4 Cu 2.99, 4 Te 2.99
Cu  0.0000  0.5000  0.7500  4 Te 2.76, 4 Cu 2.99, 4 Al 2.99
Te  0.0000  0.5000  0.2500  8 Cu 2.76-2.99, 4 Al 2.99

This record from the Alexandria database describes a geometry-optimized Ca2RuCl structure. The functional is GGA-PBE.

Computed properties:
- uncorrected energy (eV/f.u.) = -17.6
- formation energy without anion corrections (eV/atom) = -0.61
- N(E_F) (states/eV per cell) = 7.417
- theoretical density (g/cm³) = 3.9
- distance to the lowest polymorph of the same formula (meV per atom) = 33.0

abc: 3.6435 3.6435 24.2059
angles: 90.00 90.00 120.00
Closest atoms and distances in Å follow each position.
Space group R-3m (No. 166, hexagonal axes)
Symmetry-distinct sites (fractional):
Ca  0.0000  0.0000  0.2452  3 Ru 2.83, 3 Cl 3.00
Ru  0.0000  0.0000  0.5000  6 Ca 2.83
Cl  0.0000  0.0000  0.0000  6 Ca 3.00

This record from the Alexandria database describes a geometry-optimized CoGeMo structure. The functional is GGA-PBE.

Computed properties:
- uncorrected energy (eV/f.u.) = -22.8
- N(E_F) (states/eV per cell) = 2.400
- formation enthalpy at 0 K (meV/atom) = -76
- theoretical density (g/cm³) = 9.3

abc: 4.1073 4.1073 2.7840
angles: 90.00 90.00 120.00
Closest atoms and distances in Å follow each position.
Space group P-6m2 (No. 187)
Symmetry-distinct sites (fractional):
Co  0.0000  0.0000  0.0000  3 Ge 2.37
Ge  0.3333  0.6667  0.0000  3 Co 2.37
Mo  0.6667  0.3333  0.5000  6 Co 2.75, 6 Ge 2.75, 2 Mo 2.78

This record from the Alexandria database describes a geometry-optimized SrLiSb2 structure. The functional is GGA-PBE.

Computed properties:
- uncorrected energy (eV/f.u.) = -13.9
- formation energy without anion corrections (eV/atom) = -0.51
- N(E_F) (states/eV per cell) = 4.043
- theoretical density (g/cm³) = 4.8
- distance to the lowest polymorph of the same formula (meV per atom) = 94.4

abc: 4.1336 4.9880 11.2762
angles: 90.00 90.00 90.00
Closest atoms and distances in Å follow each position.
Space group Imm2 (No. 44)
Symmetry-distinct sites (fractional):
Sr  0.0000  0.0000  0.0000  6 Sb 3.26-3.60, 2 Li 3.61
Li  0.0000  0.5000  0.7629  6 Sb 3.25-3.60, 2 Sr 3.61
Sb  0.0000  0.0000  0.5325  2 Sb 3.11, 4 Sr 3.26
Sb  0.0000  0.5000  0.2389  2 Sb 3.11, 4 Li 3.25

This record from the Alexandria database describes a geometry-optimized Ba8Na structure. The functional is GGA-PBE.

Computed properties:
- uncorrected energy (eV/f.u.) = -16.6
- N(E_F) (states/eV per cell) = 22.658
- formation enthalpy at 0 K (meV/atom) = 14
- theoretical density (g/cm³) = 3.4

abc: 14.8880 14.8880 4.9779
angles: 90.00 90.00 90.00
Closest atoms and distances in Å follow each position.
Space group I4/mmm (No. 139)
Symmetry-distinct sites (fractional):
Ba  0.0000  0.3367  0.0000  8 Ba 4.25-4.33
Ba  0.1601  0.1601  0.5000  2 Na 4.19, 6 Ba 4.33-4.53
Na  0.0000  0.0000  0.0000  8 Ba 4.19

theoretical density of number 11 (SrLiSb2)? 4.8 g/cm³